Na3Ac2ThTe6 | PBE-GGA | relaxed

Properties
Its calculated density is 5.90 Mg/m³. Its uncorrected energy is -4.483 eV per atom.

abc: 8.060 13.958 8.076
angles: 90.00 109.51 90.00
Space group C2/m (No. 12)
Inequivalent atoms, fractional coordinates:
1 Na 0.000 0.000 0.000 (multiplicity 2)
2 Na 0.000 0.329 0.000 (multiplicity 4)
3 Ac 0.000 0.166 0.500 (multiplicity 4)
4 Th 0.000 0.500 0.500 (multiplicity 2)
5 Te 0.235 0.500 0.252 (multiplicity 4)
6 Te 0.242 0.341 0.749 (multiplicity 8)

Na3AcTh2Te6 | PBE-GGA | relaxed

Properties
Its calculated density is 6.17 Mg/m³. Its uncorrected energy is -4.658 eV per atom.

abc: 7.821 13.549 8.177
angles: 90.00 108.68 90.00
Space group C2/m (No. 12)
Inequivalent atoms, fractional coordinates:
1 Na 0.000 0.000 0.000 (multiplicity 2)
2 Na 0.000 0.339 0.000 (multiplicity 4)
3 Ac 0.000 0.500 0.500 (multiplicity 2)
4 Th 0.000 0.167 0.500 (multiplicity 4)
5 Te 0.234 0.000 0.747 (multiplicity 4)
6 Te 0.243 0.174 0.253 (multiplicity 8)

NaAc2ThTe4 | PBE-GGA | relaxed

Properties
Its calculated density is 7.27 Mg/m³. Its uncorrected energy is -4.989 eV per atom.

abc: 7.883 4.605 8.128
angles: 90.00 109.24 90.00
Space group P2/m (No. 10)
Inequivalent atoms, fractional coordinates:
1 Na 0.000 0.000 0.000 (multiplicity 1)
2 Ac 0.500 0.000 0.500 (multiplicity 1)
3 Ac 0.500 0.500 0.000 (multiplicity 1)
4 Th 0.000 0.500 0.500 (multiplicity 1)
5 Te 0.232 0.000 0.747 (multiplicity 2)
6 Te 0.233 0.500 0.245 (multiplicity 2)

NaAc2TlTe4 | PBE-GGA | relaxed

Properties
Its calculated density is 6.27 Mg/m³. Its uncorrected energy is -4.321 eV per atom.

abc: 8.324 4.802 8.370
angles: 90.00 109.42 90.00
Space group P2/m (No. 10)
Inequivalent atoms, fractional coordinates:
1 Na 0.000 0.000 0.000 (multiplicity 1)
2 Ac 0.000 0.500 0.500 (multiplicity 1)
3 Ac 0.500 0.000 0.500 (multiplicity 1)
4 Tl 0.500 0.500 0.000 (multiplicity 1)
5 Te 0.243 0.000 0.735 (multiplicity 2)
6 Te 0.251 0.500 0.262 (multiplicity 2)

Na3Ac2TmTe6 | PBE-GGA | relaxed

Properties
Its calculated density is 5.68 Mg/m³. Its uncorrected energy is -4.304 eV per atom.

abc: 20.224 4.644 9.314
angles: 90.00 103.11 90.00
Space group C2/m (No. 12)
Inequivalent atoms, fractional coordinates:
1 Na 0.000 0.000 0.000 (multiplicity 2)
2 Na 0.167 0.500 0.333 (multiplicity 4)
3 Ac 0.164 0.500 0.827 (multiplicity 4)
4 Tm 0.000 0.000 0.500 (multiplicity 2)
5 Te 0.003 0.500 0.276 (multiplicity 4)
6 Te 0.157 0.000 0.572 (multiplicity 4)
7 Te 0.166 0.000 0.084 (multiplicity 4)

Na3AcTm2Te6 | PBE-GGA | relaxed

Properties
Its calculated density is 5.79 Mg/m³. Its uncorrected energy is -4.304 eV per atom.

abc: 7.823 13.564 8.017
angles: 90.00 109.19 90.00
Space group C2/m (No. 12)
Inequivalent atoms, fractional coordinates:
1 Na 0.000 0.000 0.000 (multiplicity 2)
2 Na 0.000 0.339 0.000 (multiplicity 4)
3 Ac 0.000 0.500 0.500 (multiplicity 2)
4 Tm 0.000 0.168 0.500 (multiplicity 4)
5 Te 0.224 0.000 0.735 (multiplicity 4)
6 Te 0.244 0.177 0.265 (multiplicity 8)